Pa3Te5Br: optimized geometry, PBE.

D(E_F): 1.202 states/eV per atom
Symmetry: C2/m
Formation energy (no corrections): -699 meV per atom

Cell lengths 8.5604, 8.5604, 11.2781 Å; angles 66.98, 66.98, 76.42 degrees
Last column: nearest neighbours and their distance in Å.
Fractional coordinates of all 18 atoms:
1 Te 0.7651 0.7651 0.0234  3 Pa 3.04-3.07
2 Te 0.7098 0.2902 0.0000  3 Pa 3.05-3.07
3 Te 0.2902 0.7098 0.0000  3 Pa 3.05-3.07
4 Te 0.3772 0.9589 0.3397  3 Pa 3.04-3.08
5 Te 0.2349 0.2349 0.9766  3 Pa 3.04-3.07
6 Te 0.9589 0.3772 0.3397  3 Pa 3.04-3.08
7 Te 0.5627 0.5627 0.6403  3 Pa 3.03-3.07
8 Te 0.0411 0.6228 0.6603  3 Pa 3.04-3.08
9 Te 0.4373 0.4373 0.3597  3 Pa 3.03-3.07
10 Te 0.6228 0.0411 0.6603  3 Pa 3.04-3.08
11 Br 0.0915 0.0915 0.6984  3 Pa 2.99-3.04
12 Br 0.9085 0.9085 0.3016  3 Pa 2.99-3.04
13 Pa 0.0000 0.0000 0.5000  4 Te 3.04, 2 Br 3.04
14 Pa 0.3259 0.3259 0.6704  1 Br 3.01, 5 Te 3.03-3.08
15 Pa 0.6741 0.6741 0.3296  1 Br 3.01, 5 Te 3.03-3.08
16 Pa 0.0000 0.0000 0.0000  2 Br 2.99, 4 Te 3.04-3.07
17 Pa 0.6654 0.6654 0.8304  6 Te 3.05-3.07
18 Pa 0.3346 0.3346 0.1696  6 Te 3.05-3.07